Below is a relaxed Ba2Li4HgBi3 crystal, with properties calculated at the PBE level.

Computed properties:
calculated density = 6.606 g/cm³
symmetry = P-4m2, No. 115
E = -0.10990 hartree per atom

```
10
Lattice="-2.243 -4.376 1.003 4.368 -1.868 1.618 -2.332 3.586 10.434" Properties=species:S:1:pos:R:3 pbc="T T T"
Ba -1.679 -1.331 2.995
Ba 0.409 1.795 8.749
Li 1.062 -3.122 1.311
Li 0.000 0.000 0.000
Li -2.561 0.025 6.940
Li 1.291 0.439 4.804
Hg -0.104 -1.329 6.528
Bi -1.166 1.793 5.217
Bi -3.139 0.914 9.529
Bi 1.870 -0.451 2.216
```

---

Below is a relaxed Tb4Ho5Tm4 crystal, with properties calculated at the PBE level.

Computed properties:
calculated density = 8.883 g/cm³
symmetry = I4/m, No. 87
E = -0.16688 hartree per atom

```
13
Lattice="-4.595 -1.876 -0.233 -1.970 -2.829 8.641 -5.692 7.146 1.756" Properties=species:S:1:pos:R:3 pbc="T T T"
Tb -4.731 -1.979 3.280
Tb -7.526 4.421 6.883
Tb -7.897 -1.449 8.452
Tb -4.361 3.890 1.711
Ho -9.226 1.803 8.490
Ho -3.032 0.639 1.673
Ho 0.000 0.000 0.000
Ho -4.869 -2.077 6.789
Ho -7.388 4.518 3.374
Tm -9.087 1.899 4.990
Tm -6.063 1.275 3.337
Tm -3.170 0.542 5.173
Tm -6.195 1.166 6.825
```

---

Below is a relaxed TlTcBr2 crystal, with properties calculated at the PBE level.

Computed properties:
relative energy among the computed polymorphs = 9.5 kJ/mol of atoms
calculated density = 6.930 g/cm³
symmetry = I-42d, No. 122
E = -0.14288 hartree per atom
formation energy without anion corrections = 0.132 eV per atom

```
8
Lattice="-7.951 -2.965 -2.403 0.465 -6.266 6.189 -4.966 -2.855 3.767" Properties=species:S:1:pos:R:3 pbc="T T T"
Tl 0.000 0.000 0.000
Tl -8.330 -5.217 1.628
Tc -3.743 -4.615 1.893
Tc -4.121 -6.868 5.925
Br -5.107 -2.960 0.529
Br -2.990 -5.390 4.193
Br -6.470 -6.427 5.059
Br -10.335 -9.394 5.324
```

---

Below is a relaxed LaTaTe2 crystal, with properties calculated at the PBE level.

Computed properties:
relative energy among the computed polymorphs = 21.5 kJ/mol of atoms
calculated density = 8.656 g/cm³
symmetry = P2/m, No. 10
E = -0.22341 hartree per atom
formation energy without anion corrections = -0.314 eV per atom

```
4
Lattice="-0.699 -4.103 -0.900 3.302 -0.162 -1.825 4.281 -1.868 5.193" Properties=species:S:1:pos:R:3 pbc="T T T"
La 1.546 -2.559 0.392
Ta 5.338 -3.574 2.076
Te 7.074 -1.992 3.589
Te 4.301 -1.053 1.463
```

---

Below is a relaxed Pa4ZnGa3 crystal, with properties calculated at the PBE level.

Computed properties:
calculated density = 11.669 g/cm³
symmetry = Pmm2, No. 25
E = -0.22769 hartree per atom

```
8
Lattice="-1.277 -1.245 2.692 0.977 -4.121 -1.443 10.533 0.644 5.293" Properties=species:S:1:pos:R:3 pbc="T T T"
Zn 0.474 -2.645 0.937
Pa 3.267 -2.475 2.341
Pa 9.164 -1.530 3.638
Pa 1.866 0.114 0.938
Pa 6.469 -0.188 4.918
Ga 6.387 -1.700 2.243
Ga 4.628 0.283 2.326
Ga 9.277 -0.017 6.329
```

---

Below is a relaxed BaLa2Te2 crystal, with properties calculated at the PBE level.

Computed properties:
relative energy among the computed polymorphs = 7.5 kJ/mol of atoms
calculated density = 5.998 g/cm³
symmetry = I4/mmm, No. 139
E = -0.17309 hartree per atom
formation energy without anion corrections = -1.098 eV per atom

```
5
Lattice="-2.612 -2.994 -2.586 2.443 -3.658 1.767 -5.505 -3.952 5.790" Properties=species:S:1:pos:R:3 pbc="T T T"
Te -1.281 -3.464 0.959
Te -4.392 -7.139 4.011
Ba 0.000 0.000 0.000
La -4.100 -5.136 1.397
La -1.573 -5.468 3.573
```

---

Below is a relaxed Zr6IrC4 crystal, with properties calculated at the PBE level.

Computed properties:
calculated density = 7.777 g/cm³
symmetry = Cmcm, No. 63
E = -0.35320 hartree per atom

```
22
Lattice="-2.461 1.668 1.602 -2.571 -4.306 -3.027 1.732 -10.843 13.952" Properties=species:S:1:pos:R:3 pbc="T T T"
Zr -1.231 0.834 0.801
Zr -0.365 -4.587 7.777
Zr 0.272 -4.086 4.672
Zr -3.572 -9.394 7.854
Zr -3.230 -11.538 10.612
Zr -0.071 -1.943 1.914
Zr -2.600 -5.654 5.454
Zr -0.700 -7.826 7.073
Zr -0.106 -11.547 11.861
Zr -3.194 -1.933 0.665
Zr -2.171 -5.088 1.963
Zr -1.130 -8.392 10.563
Ir -2.024 -2.996 3.571
Ir -1.277 -10.484 8.956
C -3.044 -7.520 6.714
C -2.898 -4.164 -0.117
C -0.256 -5.960 5.812
C -0.403 -9.317 12.644
C -2.314 -12.093 12.598
C -0.987 -1.387 -0.071
C -0.846 -6.544 9.075
C -2.455 -6.937 3.451
```

---

Below is a relaxed CaLa3Ru crystal, with properties calculated at the PBE level.

Computed properties:
relative energy among the computed polymorphs = 10.2 kJ/mol of atoms
calculated density = 4.675 g/cm³
symmetry = R-3, No. 148
E = -0.19394 hartree per atom

```
10
Lattice="4.041 0.000 9.343 -2.020 3.499 9.343 -2.020 -3.499 9.343" Properties=species:S:1:pos:R:3 pbc="T T T"
Ru 0.000 0.000 9.299
Ru 0.000 0.000 18.730
Ca 0.000 0.000 4.727
Ca 0.000 0.000 23.302
La -0.025 -2.252 10.923
La -1.937 1.147 10.923
La -1.962 -1.104 17.106
La 1.937 -1.147 17.106
La 0.025 2.252 17.106
La 1.962 1.104 10.923
```

---

Below is a relaxed NdSmHo2 crystal, with properties calculated at the PBE level.

Computed properties:
relative energy among the computed polymorphs = 0.0 kJ/mol of atoms
calculated density = 7.914 g/cm³
symmetry = R3m, No. 160
E = -0.17073 hartree per atom

```
4
Lattice="3.610 0.000 0.000 1.805 3.126 0.000 1.805 1.042 11.611" Properties=species:S:1:pos:R:3 pbc="T T T"
Nd 3.610 2.084 0.007
Sm 3.610 2.084 5.790
Ho 1.805 1.042 8.703
Ho 1.805 1.042 2.916
```

---

Below is a relaxed LiErCdSn crystal, with properties calculated at the PBE level.

Computed properties:
relative energy among the computed polymorphs = 0.0 kJ/mol of atoms
calculated density = 7.296 g/cm³
symmetry = Pmmm, No. 47
E = -0.12074 hartree per atom

```
4
Lattice="4.210 0.000 0.000 0.000 4.542 0.000 0.000 0.000 4.824" Properties=species:S:1:pos:R:3 pbc="T T T"
Li 2.105 2.271 0.000
Er 2.105 0.000 2.412
Cd 0.000 0.000 0.000
Sn 0.000 2.271 2.412
```

---

Below is a relaxed Pr5DyCd4 crystal, with properties calculated at the PBE level.

Computed properties:
calculated density = 7.212 g/cm³
symmetry = P4/mmm, No. 123
E = -0.12702 hartree per atom

```
10
Lattice="-1.425 -1.995 -2.943 3.383 0.214 -1.783 5.899 -17.599 9.075" Properties=species:S:1:pos:R:3 pbc="T T T"
Pr 1.668 -2.945 -1.304
Pr 2.801 -6.326 0.440
Pr 3.929 -9.690 2.174
Pr 5.056 -13.053 3.909
Pr 6.189 -16.434 5.652
Dy 0.000 0.000 0.000
Cd 1.246 -3.717 1.917
Cd 2.385 -7.115 3.669
Cd 3.514 -10.483 5.406
Cd 4.653 -13.882 7.159
```

---

Below is a relaxed Ba2BeSi crystal, with properties calculated at the PBE level.

Computed properties:
relative energy among the computed polymorphs = 56.3 kJ/mol of atoms
calculated density = 4.305 g/cm³
symmetry = I-4m2, No. 119
E = -0.10359 hartree per atom
formation energy without anion corrections = 0.430 eV per atom

```
4
Lattice="-0.108 -2.405 -5.738 1.961 -5.898 -0.293 -4.104 3.069 3.529" Properties=species:S:1:pos:R:3 pbc="T T T"
Be 0.926 -4.151 -3.015
Si -1.643 -1.743 -2.612
Ba 0.000 0.000 0.000
Ba -0.609 -3.490 0.110
```

---

| no. | DOS at the Fermi energy (states/eV per cell) |
| --- | --- |
| 1 | 4.616 |
| 2 | 17.368 |
| 3 | 10.322 |
| 4 | 4.401 |
| 5 | 15.990 |
| 6 | 4.230 |
| 7 | 8.713 |
| 8 | 3.771 |
| 9 | 5.817 |
| 10 | 1.459 |
| 11 | 12.730 |
| 12 | 3.686 |